Entry 1:
# MgNbZn (PBE-GGA, optimized geometry)
data_MgNbZn
_chemical_formula_sum 'Mg2 Nb2 Zn2'
_symmetry_space_group_name_H-M 'P 1'
_symmetry_Int_Tables_number 1
_cell_length_a 4.0818
_cell_length_b 2.8844
_cell_length_c 12.7881
_cell_angle_alpha 90.00
_cell_angle_beta 90.00
_cell_angle_gamma 135.04
loop_
_symmetry_equiv_pos_as_xyz
'x,y,z'
loop_
_atom_site_label
_atom_site_type_symbol
_atom_site_fract_x
_atom_site_fract_y
_atom_site_fract_z
Zn1 Zn 0.6943 0.3885 0.0000
Zn2 Zn 0.1945 0.3889 0.5000
Nb1 Nb 0.6944 0.3889 0.3475
Nb2 Nb 0.6944 0.3889 0.6525
Mg1 Mg 0.1945 0.3890 0.8345
Mg2 Mg 0.1945 0.3890 0.1655
# Symmetry: No. 123
# Calculated total energy (eV/atom): -4.287
# Energy relative to the lowest polymorph listed for this composition (eV/f.u.): 0.021
# ΔE_f (eV/atom): 0.0253
# Crystal system: tetragonal
# Spin magnetization (μB per atom): 0.00


Entry 2:
# Te2PbO2 (PBE-GGA, optimized geometry)
data_Te2PbO2
_chemical_formula_sum 'Te2 Pb1 O2'
_symmetry_space_group_name_H-M 'P 1'
_symmetry_Int_Tables_number 1
_cell_length_a 5.9096
_cell_length_b 5.9096
_cell_length_c 4.0286
_cell_angle_alpha 90.00
_cell_angle_beta 90.00
_cell_angle_gamma 90.00
loop_
_symmetry_equiv_pos_as_xyz
'x,y,z'
loop_
_atom_site_label
_atom_site_type_symbol
_atom_site_fract_x
_atom_site_fract_y
_atom_site_fract_z
Pb1 Pb 0.0000 0.0000 0.0000
Te1 Te 0.0000 0.5000 0.0000
Te2 Te 0.5000 0.0000 0.0000
O1 O 0.5000 0.5000 0.5000
O2 O 0.0000 0.0000 0.5000
# Symmetry: No. 123
# Calculated total energy (eV/atom): -3.113
# Crystal system: tetragonal
# Spin magnetization (μB per atom): 0.00


Entry 3:
# AcErPd2 (PBE-GGA, optimized geometry)
data_AcErPd2
_chemical_formula_sum 'Ac1 Er1 Pd2'
_symmetry_space_group_name_H-M 'P 1'
_symmetry_Int_Tables_number 1
_cell_length_a 5.1751
_cell_length_b 5.1751
_cell_length_c 5.1751
_cell_angle_alpha 60.00
_cell_angle_beta 60.00
_cell_angle_gamma 60.00
loop_
_symmetry_equiv_pos_as_xyz
'x,y,z'
loop_
_atom_site_label
_atom_site_type_symbol
_atom_site_fract_x
_atom_site_fract_y
_atom_site_fract_z
Ac1 Ac 0.5000 0.5000 0.5000
Pd1 Pd 0.2500 0.2500 0.2500
Pd2 Pd 0.7500 0.7500 0.7500
Er1 Er 0.0000 0.0000 0.0000
# Symmetry: No. 225
# Calculated total energy (eV/atom): -5.498
# Energy relative to the lowest polymorph listed for this composition (eV/f.u.): 0.314
# ΔE_f (eV/atom): -0.7342
# Crystal system: cubic
# Spin magnetization (μB per atom): 0.00


Entry 4:
# ZrPPbO6 (PBE-GGA, optimized geometry)
data_ZrPPbO6
_chemical_formula_sum 'Zr1 P1 Pb1 O6'
_symmetry_space_group_name_H-M 'P 1'
_symmetry_Int_Tables_number 1
_cell_length_a 5.2298
_cell_length_b 5.2298
_cell_length_c 4.9043
_cell_angle_alpha 90.00
_cell_angle_beta 90.00
_cell_angle_gamma 60.00
loop_
_symmetry_equiv_pos_as_xyz
'x,y,z'
loop_
_atom_site_label
_atom_site_type_symbol
_atom_site_fract_x
_atom_site_fract_y
_atom_site_fract_z
Zr1 Zr 0.6666 0.6667 0.5000
P1 P 0.3333 0.3333 0.5000
Pb1 Pb 0.0000 0.0000 0.0000
O1 O 0.0510 0.3523 0.2988
O2 O 0.3523 0.0510 0.7012
O3 O 0.5967 0.3523 0.7012
O4 O 0.0509 0.5967 0.7012
O5 O 0.3523 0.5967 0.2988
O6 O 0.5967 0.0510 0.2988
# Symmetry: No. 149
# Calculated total energy (eV/atom): -7.254
# Crystal system: trigonal
# Spin magnetization (μB per atom): 0.00


Entry 5:
# Co2CuAu (PBE-GGA, optimized geometry)
data_Co2CuAu
_chemical_formula_sum 'Co4 Cu2 Au2'
_symmetry_space_group_name_H-M 'P 1'
_symmetry_Int_Tables_number 1
_cell_length_a 3.5639
_cell_length_b 3.5639
_cell_length_c 9.3732
_cell_angle_alpha 79.04
_cell_angle_beta 79.04
_cell_angle_gamma 90.00
loop_
_symmetry_equiv_pos_as_xyz
'x,y,z'
loop_
_atom_site_label
_atom_site_type_symbol
_atom_site_fract_x
_atom_site_fract_y
_atom_site_fract_z
Co1 Co 0.5895 0.1250 0.2500
Co2 Co 0.1605 0.6250 0.2500
Co3 Co 0.3750 0.4105 0.7500
Co4 Co 0.8750 0.8395 0.7500
Au1 Au 0.0000 0.0000 0.0000
Au2 Au 0.7500 0.2500 0.5000
Cu1 Cu 0.5000 0.5000 0.0000
Cu2 Cu 0.2500 0.7500 0.5000
# Symmetry: No. 122
# Calculated total energy (eV/atom): -4.911
# ΔE_f (eV/atom): 0.4851
# Crystal system: tetragonal
# Spin magnetization (μB per atom): 0.94


Entry 6:
# Y2CrPt (PBE-GGA, optimized geometry)
data_Y2CrPt
_chemical_formula_sum 'Y2 Cr1 Pt1'
_symmetry_space_group_name_H-M 'P 1'
_symmetry_Int_Tables_number 1
_cell_length_a 3.7144
_cell_length_b 3.7144
_cell_length_c 6.7635
_cell_angle_alpha 90.00
_cell_angle_beta 90.00
_cell_angle_gamma 90.00
loop_
_symmetry_equiv_pos_as_xyz
'x,y,z'
loop_
_atom_site_label
_atom_site_type_symbol
_atom_site_fract_x
_atom_site_fract_y
_atom_site_fract_z
Cr1 Cr 0.0000 0.0000 0.5151
Pt1 Pt 0.5000 0.5000 0.7428
Y1 Y 0.0000 0.0000 0.9393
Y2 Y 0.5000 0.5000 0.3027
# Symmetry: No. 99
# Calculated total energy (eV/atom): -7.337
# Energy relative to the lowest polymorph listed for this composition (eV/f.u.): 0.899
# ΔE_f (eV/atom): -0.1890
# Crystal system: tetragonal
# Spin magnetization (μB per atom): 0.97